Density functional theory data (PBE) for a geometry-optimized Nb3SbCl structure.

Distance to the lowest polymorph of the same formula (eV/atom): 0.000
Volume (Å³/cell): 97
N(E_F) (states/eV per atom): 0.720
Mass density (kg/m³): 7462
SG: Pm-3m (221)
Formation energy without anion corrections (meV per atom): 470

Cell lengths 4.595, 4.595, 4.595 Å; angles 90.00, 90.00, 90.00 degrees
Positions (direct):
Nb 0.000 0.000 0.500
Nb 0.000 0.500 0.000
Nb 0.500 0.000 0.000
Sb 0.500 0.500 0.500
Cl 0.000 0.000 0.000

Density functional theory data (PBE) for a geometry-optimized Er2ZrSn structure.

Distance to the lowest polymorph of the same formula (eV/atom): 0.064
Volume (Å³/cell): 105
N(E_F) (states/eV per atom): 0.813
Mass density (kg/m³): 8596
ΔH_f (0 K) (eV/atom): -0.269
SG: P4/mmm (123)

Cell lengths 3.334, 3.334, 9.459 Å; angles 90.00, 90.00, 90.00 degrees
Positions (direct):
Er 0.000 0.000 0.248
Er 0.000 0.000 0.752
Zr 0.500 0.500 0.500
Sn 0.500 0.500 0.000

Density functional theory data (PBE) for a geometry-optimized Sr2SbAsPd6 structure.

Volume (Å³/cell): 440
N(E_F) (states/eV per atom): 0.220
Mass density (kg/m³): 7630
SG: Pmmn (59)
Formation energy without anion corrections (meV per atom): -674

Cell lengths 5.718, 8.995, 8.551 Å; angles 90.00, 90.00, 90.00 degrees
Positions (direct):
Sr 0.250 0.002 0.229
Sr 0.250 0.498 0.229
Sr 0.750 0.502 0.771
Sr 0.750 0.998 0.771
Sb 0.250 0.750 0.768
Sb 0.750 0.250 0.232
As 0.250 0.250 0.742
As 0.750 0.750 0.258
Pd 0.002 0.750 0.500
Pd 0.006 0.250 0.980
Pd 0.250 0.002 0.605
Pd 0.250 0.498 0.605
Pd 0.494 0.250 0.980
Pd 0.498 0.750 0.500
Pd 0.502 0.250 0.500
Pd 0.506 0.750 0.020
Pd 0.750 0.502 0.395
Pd 0.750 0.998 0.395
Pd 0.994 0.750 0.020
Pd 0.998 0.250 0.500

Density functional theory data (PBE) for a geometry-optimized Li5Sn3Br12 structure.

Volume (Å³/cell): 2219
N(E_F) (states/eV per atom): 0.695
Mass density (kg/m³): 4040
SG: Ia-3d (230)
Formation energy without anion corrections (meV per atom): -1039

Cell lengths 14.232, 14.232, 14.232 Å; angles 109.47, 109.47, 109.47 degrees
Positions (direct):
Li 0.000 0.000 0.000
Li 0.000 0.000 0.500
Li 0.000 0.500 0.000
Li 0.000 0.500 0.500
Li 0.125 0.750 0.875
Li 0.125 0.875 0.250
Li 0.250 0.125 0.875
Li 0.250 0.625 0.375
Li 0.375 0.250 0.625
Li 0.375 0.625 0.750
Li 0.500 0.000 0.000
Li 0.500 0.000 0.500
Li 0.500 0.500 0.000
Li 0.500 0.500 0.500
Li 0.625 0.375 0.250
Li 0.625 0.750 0.375
Li 0.750 0.375 0.625
Li 0.750 0.875 0.125
Li 0.875 0.125 0.750
Li 0.875 0.250 0.125
Sn 0.125 0.250 0.375
Sn 0.125 0.375 0.750
Sn 0.250 0.375 0.125
Sn 0.250 0.875 0.625
Sn 0.375 0.125 0.250
Sn 0.375 0.750 0.125
Sn 0.625 0.250 0.875
Sn 0.625 0.875 0.750
Sn 0.750 0.125 0.375
Sn 0.750 0.625 0.875
Sn 0.875 0.625 0.250
Sn 0.875 0.750 0.625
Br 0.034 0.214 0.124
Br 0.034 0.320 0.910
Br 0.089 0.714 0.680
Br 0.089 0.876 0.410
Br 0.090 0.624 0.411
Br 0.090 0.966 0.680
Br 0.124 0.034 0.214
Br 0.124 0.590 0.911
Br 0.180 0.214 0.589
Br 0.180 0.466 0.590
Br 0.214 0.124 0.034
Br 0.214 0.589 0.180
Br 0.286 0.320 0.911
Br 0.286 0.466 0.376
Br 0.320 0.910 0.034
Br 0.320 0.911 0.286
Br 0.376 0.286 0.466
Br 0.376 0.589 0.910
Br 0.410 0.089 0.876
Br 0.410 0.820 0.534
Br 0.411 0.090 0.624
Br 0.411 0.820 0.786
Br 0.466 0.376 0.286
Br 0.466 0.590 0.180
Br 0.534 0.410 0.820
Br 0.534 0.624 0.714
Br 0.589 0.180 0.214
Br 0.589 0.910 0.376
Br 0.590 0.180 0.466
Br 0.590 0.911 0.124
Br 0.624 0.411 0.090
Br 0.624 0.714 0.534
Br 0.680 0.089 0.714
Br 0.680 0.090 0.966
Br 0.714 0.534 0.624
Br 0.714 0.680 0.089
Br 0.786 0.411 0.820
Br 0.786 0.876 0.966
Br 0.820 0.534 0.410
Br 0.820 0.786 0.411
Br 0.876 0.410 0.089
Br 0.876 0.966 0.786
Br 0.910 0.034 0.320
Br 0.910 0.376 0.589
Br 0.911 0.124 0.590
Br 0.911 0.286 0.320
Br 0.966 0.680 0.090
Br 0.966 0.786 0.876